No. 1
A relaxed RbNbCl3 crystal, computed with PBE-GGA.

Results
The calculation puts the spin magnetization at 3.0 μB/cell. Its total energy is -3.00 eV/atom.

The structure in CIF format:
```
data_RbNbCl3
_chemical_formula_sum 'Rb1 Nb1 Cl3'
_symmetry_space_group_name_H-M 'P m -3 m'
_symmetry_Int_Tables_number 221
_symmetry_space_group_name_Hall '-P 4 2 3'
_cell_length_a 5.706
_cell_length_b 5.706
_cell_length_c 5.706
_cell_angle_alpha 90.00
_cell_angle_beta 90.00
_cell_angle_gamma 90.00
loop_
_atom_site_label
_atom_site_fract_x
_atom_site_fract_y
_atom_site_fract_z
Rb1 0.000 0.000 0.000
Nb1 0.500 0.500 0.500
Cl1 0.000 0.000 0.500
```

=====

No. 2
A relaxed TbTmNb2Ge2 crystal, computed with PBE-GGA.

Results
The calculation puts the spin magnetization at 1.1 μB/cell. Its total energy is -7.06 eV/atom.

The structure in CIF format:
```
data_TbTmNb2Ge2
_chemical_formula_sum 'Tb1 Tm1 Nb2 Ge2'
_symmetry_space_group_name_H-M 'P 4 m m'
_symmetry_Int_Tables_number 99
_cell_length_a 4.027
_cell_length_b 4.027
_cell_length_c 7.830
_cell_angle_alpha 90.00
_cell_angle_beta 90.00
_cell_angle_gamma 90.00
loop_
_symmetry_equiv_pos_as_xyz
'x,y,z'
'-y,x,z'
'-x,-y,z'
'y,-x,z'
'-x,y,z'
'y,x,z'
'x,-y,z'
'-y,-x,z'
loop_
_atom_site_label
_atom_site_fract_x
_atom_site_fract_y
_atom_site_fract_z
Tb1 0.000 0.000 0.000
Tm1 0.500 0.500 0.705
Nb1 0.000 0.500 0.353
Ge1 0.000 0.000 0.601
Ge2 0.500 0.500 0.106
```

=====

No. 3
A relaxed TbUAl crystal, computed with PBE-GGA.

Results
The calculation puts the spin magnetization at 13.8 μB/cell. As for the distance to the lowest polymorph of the same formula: 0 meV per atom.

The structure in CIF format:
```
data_TbUAl
_chemical_formula_sum 'Tb4 U4 Al4'
_symmetry_space_group_name_H-M 'F -4 3 m'
_symmetry_Int_Tables_number 216
_symmetry_space_group_name_Hall 'F -4 2 3'
_cell_length_a 7.020
_cell_length_b 7.020
_cell_length_c 7.020
_cell_angle_alpha 90.00
_cell_angle_beta 90.00
_cell_angle_gamma 90.00
loop_
_atom_site_label
_atom_site_fract_x
_atom_site_fract_y
_atom_site_fract_z
Tb1 0.000 0.000 0.000
U1 0.000 0.000 0.500
Al1 0.250 0.250 0.250
```

=====

No. 4
A relaxed DyErGa2Cu4 crystal, computed with PBE-GGA.

Results
The calculation puts the spin magnetization at 0.0 μB/cell. Its total energy is -4.13 eV/atom.

The structure in CIF format:
```
data_DyErGa2Cu4
_chemical_formula_sum 'Dy1 Er1 Ga2 Cu4'
_symmetry_space_group_name_H-M 'P -6 m 2'
_symmetry_Int_Tables_number 187
_symmetry_space_group_name_Hall 'P -6 2'
_cell_length_a 4.2637
_cell_length_b 4.2637
_cell_length_c 8.5949
_cell_angle_alpha 90.00
_cell_angle_beta 90.00
_cell_angle_gamma 120.00
loop_
_atom_site_label
_atom_site_fract_x
_atom_site_fract_y
_atom_site_fract_z
Dy1 0.0000 0.0000 0.0000
Er1 0.6667 0.3333 0.5000
Ga1 0.3333 0.6667 0.2515
Cu1 0.0000 0.0000 0.3326
Cu2 0.6667 0.3333 0.1721
```

=====

No. 5
A relaxed Nb2B2Pb crystal, computed with PBE-GGA.

Results
The calculation puts the spin magnetization at 0.0 μB/cell. Its total energy is -7.68 eV/atom.

The structure in CIF format:
```
data_Nb2B2Pb
_chemical_formula_sum 'Nb4 B4 Pb2'
_symmetry_space_group_name_H-M 'C m m m'
_symmetry_Int_Tables_number 65
_symmetry_space_group_name_Hall '-C 2 2'
_cell_length_a 3.062
_cell_length_b 15.035
_cell_length_c 3.228
_cell_angle_alpha 90.00
_cell_angle_beta 90.00
_cell_angle_gamma 90.00
loop_
_atom_site_label
_atom_site_fract_x
_atom_site_fract_y
_atom_site_fract_z
Nb1 0.000 0.161 0.000
B1 0.000 0.278 0.500
Pb1 0.000 0.500 0.500
```

=====

No. 6
A relaxed Li2LaScIn2Au2 crystal, computed with PBE-GGA.

Results
The calculation puts the spin magnetization at 0.0 μB/cell. Its total energy is -3.96 eV/atom.

The structure in CIF format:
```
data_Li2LaScIn2Au2
_chemical_formula_sum 'Li2 La1 Sc1 In2 Au2'
_symmetry_space_group_name_H-M 'P -4 m 2'
_symmetry_Int_Tables_number 115
_cell_length_a 4.873
_cell_length_b 4.873
_cell_length_c 6.896
_cell_angle_alpha 90.00
_cell_angle_beta 90.00
_cell_angle_gamma 90.00
loop_
_symmetry_equiv_pos_as_xyz
'x,y,z'
'y,-x,-z'
'-x,-y,z'
'-y,x,-z'
'-x,y,z'
'-y,-x,-z'
'x,-y,z'
'y,x,-z'
loop_
_atom_site_label
_atom_site_fract_x
_atom_site_fract_y
_atom_site_fract_z
Li1 0.000 0.500 0.227
La1 0.000 0.000 0.500
Sc1 0.500 0.500 0.000
In1 0.000 0.000 0.000
In2 0.500 0.500 0.500
Au1 0.000 0.500 0.775
```

=====

No. 7
A relaxed FeSnTe2 crystal, computed with PBE-GGA.

Results
The calculation puts the spin magnetization at 10.8 μB/cell. Its total energy is -4.03 eV/atom.

The structure in CIF format:
```
data_FeSnTe2
_chemical_formula_sum 'Fe4 Sn4 Te8'
_symmetry_space_group_name_H-M 'F -4 3 m'
_symmetry_Int_Tables_number 216
_symmetry_space_group_name_Hall 'F -4 2 3'
_cell_length_a 7.117
_cell_length_b 7.117
_cell_length_c 7.117
_cell_angle_alpha 90.00
_cell_angle_beta 90.00
_cell_angle_gamma 90.00
loop_
_atom_site_label
_atom_site_fract_x
_atom_site_fract_y
_atom_site_fract_z
Fe1 0.000 0.000 0.000
Sn1 0.250 0.250 0.750
Te1 0.000 0.000 0.500
Te2 0.250 0.250 0.250
```

=====

No. 8
A relaxed K2CdH4C4Se4N4O2 crystal, computed with PBE-GGA.

Results
Its total energy is -5.62 eV/atom.

The structure in CIF format:
```
data_K2CdH4C4Se4N4O2
_chemical_formula_sum 'K8 Cd4 H16 C16 Se16 N16 O8'
_symmetry_space_group_name_H-M 'C 1 2/c 1'
_symmetry_Int_Tables_number 15
_cell_length_a 21.487
_cell_length_b 4.332
_cell_length_c 17.858
_cell_angle_alpha 90.00
_cell_angle_beta 112.47
_cell_angle_gamma 90.00
loop_
_symmetry_equiv_pos_as_xyz
'x,y,z'
'-x,-y,-z'
'-x,y,-z+1/2'
'x,-y,z+1/2'
'x+1/2,y+1/2,z'
'-x+1/2,-y+1/2,-z'
'-x+1/2,y+1/2,-z+1/2'
'x+1/2,-y+1/2,z+1/2'
loop_
_atom_site_label
_atom_site_fract_x
_atom_site_fract_y
_atom_site_fract_z
K1 0.174 0.075 0.051
Cd1 0.000 0.461 0.750
H1 0.194 0.354 0.780
H2 0.248 0.152 0.760
C1 0.060 0.322 0.601
C2 0.157 0.355 0.387
Se1 0.010 0.136 0.882
Se2 0.111 0.184 0.288
N1 0.106 0.432 0.590
N2 0.187 0.462 0.451
O1 0.242 0.347 0.788
```

=====

No. 9
A relaxed LiMgCd crystal, computed with PBE-GGA.

Results
As for the distance to the lowest polymorph of the same formula: 0 meV per atom.

The structure in CIF format:
```
data_LiMgCd
_chemical_formula_sum 'Li2 Mg2 Cd2'
_symmetry_space_group_name_H-M 'P 1 21/m 1'
_symmetry_Int_Tables_number 11
_cell_length_a 4.787
_cell_length_b 4.816
_cell_length_c 5.571
_cell_angle_alpha 90.00
_cell_angle_beta 115.41
_cell_angle_gamma 90.00
loop_
_symmetry_equiv_pos_as_xyz
'x,y,z'
'-x,-y,-z'
'-x,y+1/2,-z'
'x,-y+1/2,z'
loop_
_atom_site_label
_atom_site_fract_x
_atom_site_fract_y
_atom_site_fract_z
Li1 0.074 0.250 0.151
Mg1 0.254 0.750 0.506
Cd1 0.418 0.250 0.837
```

=====

No. 10
A relaxed BaHg2Te3 crystal, computed with PBE-GGA.

Results
Its total energy is -2.51 eV/atom.

The structure in CIF format:
```
data_BaHg2Te3
_chemical_formula_sum 'Ba4 Hg8 Te12'
_symmetry_space_group_name_H-M 'C m c m'
_symmetry_Int_Tables_number 63
_symmetry_space_group_name_Hall '-C 2c 2'
_cell_length_a 4.519
_cell_length_b 15.280
_cell_length_c 11.402
_cell_angle_alpha 90.00
_cell_angle_beta 90.00
_cell_angle_gamma 90.00
loop_
_atom_site_label
_atom_site_fract_x
_atom_site_fract_y
_atom_site_fract_z
Ba1 0.000 0.243 0.250
Hg1 0.000 0.000 0.000
Hg2 0.000 0.458 0.750
Te1 0.000 0.075 0.750
Te2 0.000 0.354 0.543
```

=====

No. 11
A relaxed Lu4Nb2Fe3C3 crystal, computed with PBE-GGA.

Results
The calculation puts the spin magnetization at 27.4 μB/cell. Its total energy is -7.74 eV/atom.

The structure in CIF format:
```
data_Lu4Nb2Fe3C3
_chemical_formula_sum 'Lu16 Nb8 Fe12 C12'
_symmetry_space_group_name_H-M 'C 1 2/c 1'
_symmetry_Int_Tables_number 15
_cell_length_a 10.007
_cell_length_b 5.770
_cell_length_c 14.256
_cell_angle_alpha 90.00
_cell_angle_beta 104.40
_cell_angle_gamma 90.00
loop_
_symmetry_equiv_pos_as_xyz
'x,y,z'
'-x,-y,-z'
'-x,y,-z+1/2'
'x,-y,z+1/2'
'x+1/2,y+1/2,z'
'-x+1/2,-y+1/2,-z'
'-x+1/2,y+1/2,-z+1/2'
'x+1/2,-y+1/2,z+1/2'
loop_
_atom_site_label
_atom_site_fract_x
_atom_site_fract_y
_atom_site_fract_z
Lu1 0.120 0.075 0.105
Lu2 0.209 0.087 0.395
Nb1 0.062 0.412 0.923
Fe1 0.000 0.352 0.250
Fe2 0.114 0.305 0.748
C1 0.079 0.265 0.500
C2 0.250 0.250 0.000
```

=====

No. 12
A relaxed BaSmGaTe3 crystal, computed with PBE-GGA.

Results
The calculation puts the spin magnetization at 0.0 μB/cell. Its total energy is -4.27 eV/atom.

The structure in CIF format:
```
data_BaSmGaTe3
_chemical_formula_sum 'Ba4 Sm4 Ga4 Te12'
_symmetry_space_group_name_H-M 'C m c m'
_symmetry_Int_Tables_number 63
_symmetry_space_group_name_Hall '-C 2c 2'
_cell_length_a 4.667
_cell_length_b 15.586
_cell_length_c 11.603
_cell_angle_alpha 90.00
_cell_angle_beta 90.00
_cell_angle_gamma 90.00
loop_
_atom_site_label
_atom_site_fract_x
_atom_site_fract_y
_atom_site_fract_z
Ba1 0.000 0.239 0.250
Sm1 0.000 0.000 0.000
Ga1 0.000 0.476 0.750
Te1 0.000 0.094 0.750
Te2 0.000 0.359 0.540
```

=====

No. 13
A relaxed Y6Ho2Se crystal, computed with PBE-GGA.

Results
The calculation puts the spin magnetization at 0.0 μB/cell. Its total energy is -6.08 eV/atom.

The structure in CIF format:
```
data_Y6Ho2Se
_chemical_formula_sum 'Y6 Ho2 Se1'
_symmetry_space_group_name_H-M 'P -6 2 m'
_symmetry_Int_Tables_number 189
_symmetry_space_group_name_Hall 'P -6 -2'
_cell_length_a 9.0941
_cell_length_b 9.0941
_cell_length_c 3.7744
_cell_angle_alpha 90.00
_cell_angle_beta 90.00
_cell_angle_gamma 120.00
loop_
_atom_site_label
_atom_site_fract_x
_atom_site_fract_y
_atom_site_fract_z
Y1 0.0000 0.2551 0.0000
Y2 0.0000 0.6063 0.5000
Ho1 0.3333 0.6667 0.0000
Se1 0.0000 0.0000 0.5000
```

=====

No. 14
A relaxed KTm2Zn2As3 crystal, computed with PBE-GGA.

Results
The calculation puts the spin magnetization at 0.3 μB/cell. Its total energy is -4.00 eV/atom.

The structure in CIF format:
```
data_KTm2Zn2As3
_chemical_formula_sum 'K3 Tm6 Zn6 As9'
_symmetry_space_group_name_H-M 'R -3 m'
_symmetry_Int_Tables_number 166
_symmetry_space_group_name_Hall '-R 3 2"'
_cell_length_a 4.2176
_cell_length_b 4.2176
_cell_length_c 39.2407
_cell_angle_alpha 90.00
_cell_angle_beta 90.00
_cell_angle_gamma 120.00
loop_
_atom_site_label
_atom_site_fract_x
_atom_site_fract_y
_atom_site_fract_z
K1 0.0000 0.0000 0.0000
Tm1 0.0000 0.0000 0.2033
Zn1 0.0000 0.0000 0.4095
As1 0.0000 0.0000 0.2735
As2 0.0000 0.0000 0.5000
```

=====

No. 15
A relaxed AuI2O6 crystal, computed with PBE-GGA.

Results
Its total energy is -3.70 eV/atom.

The structure in CIF format:
```
data_AuI2O6
_chemical_formula_sum 'Au1 I2 O6'
_symmetry_space_group_name_H-M 'P -1'
_symmetry_Int_Tables_number 2
_cell_length_a 4.012
_cell_length_b 6.562
_cell_length_c 6.909
_cell_angle_alpha 63.79
_cell_angle_beta 85.63
_cell_angle_gamma 83.06
loop_
_symmetry_equiv_pos_as_xyz
'x,y,z'
'-x,-y,-z'
loop_
_atom_site_label
_atom_site_fract_x
_atom_site_fract_y
_atom_site_fract_z
Au1 0.000 0.000 0.000
I1 0.464 0.346 0.791
O1 0.055 0.231 0.266
O2 0.095 0.679 0.612
O3 0.150 0.935 0.740
```

=====

No. 16
A relaxed YCdNO crystal, computed with PBE-GGA.

Results
The calculation puts the spin magnetization at 0.0 μB/cell. As for the distance to the lowest polymorph of the same formula: 64 meV per atom.

The structure in CIF format:
```
data_YCdNO
_chemical_formula_sum 'Y2 Cd2 N2 O2'
_symmetry_space_group_name_H-M 'P m c 21'
_symmetry_Int_Tables_number 26
_cell_length_a 3.708
_cell_length_b 6.289
_cell_length_c 5.936
_cell_angle_alpha 90.00
_cell_angle_beta 90.00
_cell_angle_gamma 90.00
loop_
_symmetry_equiv_pos_as_xyz
'x,y,z'
'-x,-y,z+1/2'
'-x,y,z'
'x,-y,z+1/2'
loop_
_atom_site_label
_atom_site_fract_x
_atom_site_fract_y
_atom_site_fract_z
Y1 0.000 0.173 0.000
Cd1 0.500 0.349 0.506
N1 0.500 0.323 0.875
O1 0.000 0.152 0.370
```

=====

No. 17
A relaxed GdHoNO crystal, computed with PBE-GGA.

Results
The calculation puts the spin magnetization at 0.0 μB/cell. As for the distance to the lowest polymorph of the same formula: 0 meV per atom.

The structure in CIF format:
```
data_GdHoNO
_chemical_formula_sum 'Gd2 Ho2 N2 O2'
_symmetry_space_group_name_H-M 'P m m a'
_symmetry_Int_Tables_number 51
_cell_length_a 4.877
_cell_length_b 3.988
_cell_length_c 6.874
_cell_angle_alpha 90.00
_cell_angle_beta 90.00
_cell_angle_gamma 90.00
loop_
_symmetry_equiv_pos_as_xyz
'x,y,z'
'-x,-y,-z'
'-x+1/2,-y,z'
'x+1/2,y,-z'
'x+1/2,-y,-z'
'-x+1/2,y,z'
'-x,y,-z'
'x,-y,z'
loop_
_atom_site_label
_atom_site_fract_x
_atom_site_fract_y
_atom_site_fract_z
Gd1 0.250 0.000 0.165
Ho1 0.250 0.500 0.668
N1 0.250 0.500 0.340
O1 0.250 0.000 0.818
```

=====

No. 18
A relaxed ZnBIr2 crystal, computed with PBE-GGA.

Results
The calculation puts the spin magnetization at 0.1 μB/cell. As for the distance to the lowest polymorph of the same formula: 1002 meV per atom.

The structure in CIF format:
```
data_ZnBIr2
_chemical_formula_sum 'Zn4 B4 Ir8'
_symmetry_space_group_name_H-M 'F -4 3 m'
_symmetry_Int_Tables_number 216
_symmetry_space_group_name_Hall 'F -4 2 3'
_cell_length_a 5.941
_cell_length_b 5.941
_cell_length_c 5.941
_cell_angle_alpha 90.00
_cell_angle_beta 90.00
_cell_angle_gamma 90.00
loop_
_atom_site_label
_atom_site_fract_x
_atom_site_fract_y
_atom_site_fract_z
Zn1 0.000 0.000 0.000
B1 0.250 0.250 0.750
Ir1 0.000 0.000 0.500
Ir2 0.250 0.250 0.250
```

=====

No. 19
A relaxed Cs2HfCuCl6 crystal, computed with PBE-GGA.

Results
The calculation puts the spin magnetization at 4.0 μB/cell. Its total energy is -4.13 eV/atom.

The structure in CIF format:
```
data_Cs2HfCuCl6
_chemical_formula_sum 'Cs8 Hf4 Cu4 Cl24'
_symmetry_space_group_name_H-M 'F m -3 m'
_symmetry_Int_Tables_number 225
_symmetry_space_group_name_Hall '-F 4 2 3'
_cell_length_a 10.210
_cell_length_b 10.210
_cell_length_c 10.210
_cell_angle_alpha 90.00
_cell_angle_beta 90.00
_cell_angle_gamma 90.00
loop_
_atom_site_label
_atom_site_fract_x
_atom_site_fract_y
_atom_site_fract_z
Cs1 0.250 0.250 0.250
Hf1 0.000 0.000 0.000
Cu1 0.000 0.000 0.500
Cl1 0.000 0.000 0.248
```

=====

No. 20
A relaxed KAgSnO3 crystal, computed with PBE-GGA.

Results
Its total energy is -4.99 eV/atom.

The structure in CIF format:
```
data_KAgSnO3
_chemical_formula_sum 'K4 Ag4 Sn4 O12'
_symmetry_space_group_name_H-M 'P n m a'
_symmetry_Int_Tables_number 62
_cell_length_a 12.077
_cell_length_b 3.217
_cell_length_c 10.375
_cell_angle_alpha 90.00
_cell_angle_beta 90.00
_cell_angle_gamma 90.00
loop_
_symmetry_equiv_pos_as_xyz
'x,y,z'
'-x,-y,-z'
'-x+1/2,-y,z+1/2'
'x+1/2,y,-z+1/2'
'x+1/2,-y+1/2,-z+1/2'
'-x+1/2,y+1/2,z+1/2'
'-x,y+1/2,-z'
'x,-y+1/2,z'
loop_
_atom_site_label
_atom_site_fract_x
_atom_site_fract_y
_atom_site_fract_z
K1 0.241 0.250 0.139
Ag1 0.036 0.250 0.910
Sn1 0.022 0.250 0.364
O1 0.082 0.250 0.554
O2 0.088 0.750 0.788
O3 0.115 0.750 0.297
```